Entry 1:
Material: BaBPd3
Method: DFT, GGA-PBE
State: relaxed

Cell lengths 5.398, 5.398, 5.398 Å; angles 90.00, 90.00, 90.00 degrees
Positions (direct):
Ba 0.000 0.000 0.000
B 0.500 0.500 0.500
Pd 0.000 0.000 0.500
Pd 0.000 0.500 0.000
Pd 0.500 0.000 0.000

Properties
- Calculated total energy: -2.908 eV per atom
- ΔH_f (0 K): 1.928 eV per atom
- SG: Pm-3m, No. 221
- E above lowest polymorph: 2.257 eV/atom


Entry 2:
Material: BaCeSn2
Method: DFT, GGA-PBE
State: relaxed

Cell lengths 5.327, 5.327, 4.575 Å; angles 90.00, 90.00, 90.00 degrees
Positions (direct):
Ba 0.000 0.000 0.000
Ce 0.500 0.500 0.000
Sn 0.000 0.500 0.500
Sn 0.500 0.000 0.500

Properties
- Calculated total energy: -4.418 eV per atom
- ΔH_f (0 K): -0.452 eV per atom
- SG: P4/mmm, No. 123


Entry 3:
Material: KAg4Sb2
Method: DFT, GGA-PBE
State: relaxed

Cell lengths 4.727, 15.711, 4.785 Å; angles 90.00, 90.00, 90.00 degrees
Positions (direct):
K 0.000 0.000 0.000
K 0.500 0.500 0.000
Ag 0.000 0.196 0.500
Ag 0.000 0.307 0.000
Ag 0.000 0.693 0.000
Ag 0.000 0.804 0.500
Ag 0.500 0.193 0.000
Ag 0.500 0.304 0.500
Ag 0.500 0.696 0.500
Ag 0.500 0.807 0.000
Sb 0.000 0.399 0.500
Sb 0.000 0.601 0.500
Sb 0.500 0.101 0.500
Sb 0.500 0.899 0.500

Properties
- Calculated total energy: -3.062 eV per atom
- SG: Cmmm, No. 65
- Formation energy from raw total energies: -0.10 eV per atom
- E above lowest polymorph: 0.044 eV/atom


Entry 4:
Material: Na2AgAsCl6
Method: DFT, GGA-PBE
State: relaxed

Cell lengths 7.284, 7.284, 7.284 Å; angles 60.00, 60.00, 60.00 degrees
Positions (direct):
Na 0.250 0.250 0.250
Na 0.750 0.750 0.750
Ag 0.000 0.000 0.000
As 0.500 0.500 0.500
Cl 0.258 0.258 0.742
Cl 0.258 0.742 0.258
Cl 0.258 0.742 0.742
Cl 0.742 0.258 0.258
Cl 0.742 0.258 0.742
Cl 0.742 0.742 0.258

Properties
- Calculated total energy: -3.071 eV per atom
- SG: Fm-3m, No. 225
- Formation energy from raw total energies: -0.95 eV per atom
- E above lowest polymorph: 0.112 eV/atom


- Number 1 is which compound?
  BaBPd3


- What is the calculated total energy in the first record?
  -2.908 eV per atom